(1)
## Th2ZrHg (PBE)

Data for an optimized crystal structure of Th2ZrHg.

Formation energy from the elements ... 0.25 eV/atom
Distance to the lowest polymorph of the same formula ... 0.2800 eV per atom

abc: 3.3316 3.3316 35.4160
angles: 90.00 90.00 120.00
Space group R-3m (No. 166, hexagonal axes)
Asymmetric unit:
Th 0.0000 0.0000 0.0880 [6 per cell]
Zr 0.0000 0.0000 0.0000 [3 per cell]
Hg 0.0000 0.0000 0.5000 [3 per cell]

(2)
## TbHfRu (PBE)

Data for an optimized crystal structure of TbHfRu.

Formation energy from the elements ... -0.39 eV/atom
Distance to the lowest polymorph of the same formula ... 0.0000 eV per atom

abc: 7.029 4.489 12.585
angles: 90.00 90.49 90.00
Space group P2_1/m (No. 11)
Asymmetric unit:
Tb 0.007 0.250 0.210 [2 per cell]
Tb 0.377 0.250 0.412 [2 per cell]
Tb 0.485 0.250 0.121 [2 per cell]
Hf 0.035 0.750 0.413 [2 per cell]
Hf 0.144 0.750 0.043 [2 per cell]
Hf 0.339 0.250 0.714 [2 per cell]
Ru 0.199 0.750 0.606 [2 per cell]
Ru 0.229 0.250 0.933 [2 per cell]
Ru 0.294 0.750 0.256 [2 per cell]

(3)
## Cs2SrNpBr6 (PBE)

Data for an optimized crystal structure of Cs2SrNpBr6.

Energy relative to the elements, uncorrected ... -1.62 eV/atom

abc: 8.466 11.986 8.481
angles: 90.00 90.00 90.00
Space group Pmmn (No. 59, origin choice 2)
Asymmetric unit:
Cs 0.250 0.007 0.244 [4 per cell]
Sr 0.250 0.750 0.752 [2 per cell]
Np 0.250 0.250 0.747 [2 per cell]
Br 0.002 0.250 0.996 [4 per cell]
Br 0.006 0.250 0.497 [4 per cell]
Br 0.250 0.003 0.755 [4 per cell]

(4)
## Ca2PtAu2 (PBE)

Data for an optimized crystal structure of Ca2PtAu2.

Formation energy from the elements ... -0.56 eV/atom
Distance to the lowest polymorph of the same formula ... 0.1997 eV per atom

abc: 5.658 5.658 7.933
angles: 90.00 90.00 90.00
Space group I4/mmm (No. 139)
Asymmetric unit:
Ca 0.000 0.500 0.250 [4 per cell]
Pt 0.000 0.000 0.000 [2 per cell]
Au 0.000 0.000 0.336 [4 per cell]

(5)
## Tb7CeHo4 (PBE)

Data for an optimized crystal structure of Tb7CeHo4.

Formation energy from the elements ... 0.01 eV/atom
Distance to the lowest polymorph of the same formula ... 0.0000 eV per atom

abc: 6.192 7.149 8.809
angles: 89.99 76.43 89.99
Space group P-1 (No. 2)
Asymmetric unit:
Tb 0.000 0.000 0.000 [1 per cell]
Tb 0.220 0.500 0.332 [2 per cell]
Tb 0.277 0.749 0.667 [2 per cell]
Tb 0.500 0.252 0.000 [2 per cell]
Ce 0.000 0.500 0.000 [1 per cell]
Ho 0.221 0.000 0.336 [2 per cell]
Ho 0.276 0.250 0.667 [2 per cell]

(6)
## TbEr4Mg3 (PBE)

Data for an optimized crystal structure of TbEr4Mg3.

Formation energy from the elements ... 0.00 eV/atom

abc: 3.784 5.399 10.934
angles: 90.00 90.00 90.00
Space group Pmmm (No. 47)
Asymmetric unit:
Tb 0.000 0.000 0.000 [1 per cell]
Er 0.500 0.000 0.262 [2 per cell]
Er 0.500 0.500 0.000 [1 per cell]
Er 0.500 0.500 0.500 [1 per cell]
Mg 0.000 0.000 0.500 [1 per cell]
Mg 0.000 0.500 0.251 [2 per cell]

(7)
## CeGe2Mo (PBE)

Data for an optimized crystal structure of CeGe2Mo.

Formation energy from the elements ... -0.11 eV/atom
Distance to the lowest polymorph of the same formula ... 0.1801 eV per atom

abc: 3.2369 3.2369 25.8222
angles: 90.00 90.00 120.00
Space group R-3m (No. 166, hexagonal axes)
Asymmetric unit:
Ce 0.0000 0.0000 0.0000 [3 per cell]
Ge 0.0000 0.0000 0.2374 [6 per cell]
Mo 0.0000 0.0000 0.5000 [3 per cell]

(8)
## SrTiC2 (PBE)

Data for an optimized crystal structure of SrTiC2.

Formation energy from the elements ... 1.32 eV/atom
Distance to the lowest polymorph of the same formula ... 0.8084 eV per atom

abc: 6.038 6.038 6.038
angles: 90.00 90.00 90.00
Space group Fm-3m (No. 225)
Asymmetric unit:
Sr 0.000 0.000 0.000 [4 per cell]
Ti 0.000 0.000 0.500 [4 per cell]
C 0.250 0.250 0.250 [8 per cell]

(9)
## Sm2ThSi (PBE)

Data for an optimized crystal structure of Sm2ThSi.

Energy relative to the elements, uncorrected ... 0.07 eV/atom
Distance to the lowest polymorph of the same formula ... 0.2843 eV per atom

abc: 3.5671 3.5671 33.0584
angles: 90.00 90.00 120.00
Space group R-3m (No. 166, hexagonal axes)
Asymmetric unit:
Sm 0.0000 0.0000 0.1053 [6 per cell]
Th 0.0000 0.0000 0.0000 [3 per cell]
Si 0.0000 0.0000 0.5000 [3 per cell]

(10)
## CaPmHg6 (PBE)

Data for an optimized crystal structure of CaPmHg6.

Formation energy from the elements ... -0.38 eV/atom
Distance to the lowest polymorph of the same formula ... 0.0000 eV per atom

abc: 5.156 6.731 11.601
angles: 90.00 90.00 90.00
Space group Amm2 (No. 38)
Asymmetric unit:
Ca 0.000 0.000 0.000 [2 per cell]
Pm 0.500 0.000 0.670 [2 per cell]
Hg 0.000 0.000 0.501 [2 per cell]
Hg 0.000 0.245 0.252 [4 per cell]
Hg 0.500 0.000 0.171 [2 per cell]
Hg 0.500 0.243 0.417 [4 per cell]

(11)
## Pr8ZnP3Br4 (PBE)

Data for an optimized crystal structure of Pr8ZnP3Br4.

Energy relative to the elements, uncorrected ... -1.29 eV/atom

abc: 8.4256 8.4256 22.2093
angles: 90.00 90.00 120.00
Space group R-3m (No. 166, hexagonal axes)
Asymmetric unit:
Pr 0.0000 0.0000 0.2342 [6 per cell]
Pr 0.0053 0.5027 0.7632 [18 per cell]
Zn 0.0000 0.0000 0.5000 [3 per cell]
P 0.0000 0.5000 0.5000 [9 per cell]
Br 0.0000 0.0000 0.0000 [3 per cell]
Br 0.0000 0.5000 0.0000 [9 per cell]

(12)
## LaGa9Ni2 (PBE)

Data for an optimized crystal structure of LaGa9Ni2.

Formation energy from the elements ... -0.31 eV/atom
Distance to the lowest polymorph of the same formula ... 0.0000 eV per atom

abc: 7.9989 7.9989 3.8770
angles: 90.00 90.00 120.00
Space group P6/mmm (No. 191)
Asymmetric unit:
La 0.0000 0.0000 0.0000 [1 per cell]
Ga 0.0000 0.5000 0.0000 [3 per cell]
Ga 0.2055 0.4110 0.5000 [6 per cell]
Ni 0.3333 0.6667 0.0000 [2 per cell]

(13)
## Zn2PBr (PBE)

Data for an optimized crystal structure of Zn2PBr.

Energy relative to the elements, uncorrected ... -0.21 eV/atom
Distance to the lowest polymorph of the same formula ... 0.2431 eV per atom

abc: 3.8578 3.8578 22.1914
angles: 90.00 90.00 120.00
Space group R3m (No. 160, hexagonal axes)
Asymmetric unit:
Zn 0.0000 0.0000 0.0000 [3 per cell]
Zn 0.0000 0.0000 0.2332 [3 per cell]
P 0.0000 0.0000 0.5962 [3 per cell]
Br 0.0000 0.0000 0.4026 [3 per cell]

(14)
## ScTlSBr2 (PBE)

Data for an optimized crystal structure of ScTlSBr2.

Energy relative to the elements, uncorrected ... -1.26 eV/atom

abc: 5.472 5.472 4.887
angles: 90.00 90.00 90.00
Space group P4/mmm (No. 123)
Asymmetric unit:
Sc 0.000 0.000 0.000 [1 per cell]
Tl 0.500 0.500 0.500 [1 per cell]
S 0.000 0.000 0.500 [1 per cell]
Br 0.000 0.500 0.000 [2 per cell]

(15)
## CoAu3Br (PBE)

Data for an optimized crystal structure of CoAu3Br.

Energy relative to the elements, uncorrected ... 0.80 eV/atom
Distance to the lowest polymorph of the same formula ... 0.0000 eV per atom

abc: 4.853 4.853 4.853
angles: 90.00 90.00 90.00
Space group Pm-3m (No. 221)
Asymmetric unit:
Co 0.000 0.000 0.000 [1 per cell]
Au 0.000 0.000 0.500 [3 per cell]
Br 0.500 0.500 0.500 [1 per cell]

(16)
## NaInHg4 (PBE)

Data for an optimized crystal structure of NaInHg4.

Formation energy from the elements ... -0.02 eV/atom
Distance to the lowest polymorph of the same formula ... 0.0896 eV per atom

abc: 8.709 8.709 8.709
angles: 90.00 90.00 90.00
Space group F-43m (No. 216)
Asymmetric unit:
Na 0.000 0.000 0.000 [4 per cell]
In 0.250 0.250 0.250 [4 per cell]
Hg 0.125 0.125 0.625 [16 per cell]

(17)
## FeOsCl (PBE)

Data for an optimized crystal structure of FeOsCl.

Energy relative to the elements, uncorrected ... 0.62 eV/atom
Distance to the lowest polymorph of the same formula ... 0.1405 eV per atom

abc: 2.871 4.903 13.906
angles: 90.00 90.00 90.00
Space group Fmm2 (No. 42)
Asymmetric unit:
Fe 0.000 0.000 0.000 [4 per cell]
Os 0.000 0.000 0.358 [4 per cell]
Cl 0.000 0.000 0.630 [4 per cell]

(18)
## Mg3BiN (PBE)

Data for an optimized crystal structure of Mg3BiN.

Energy relative to the elements, uncorrected ... -0.41 eV/atom

abc: 6.3412 6.3412 5.6835
angles: 90.00 90.00 120.00
Space group P6_3mc (No. 186)
Asymmetric unit:
Mg 0.1452 0.2905 0.0000 [6 per cell]
Bi 0.3333 0.6667 0.4202 [2 per cell]
N 0.0000 0.0000 0.2483 [2 per cell]

(19)
## Nd2ErAl3Pt4 (PBE)

Data for an optimized crystal structure of Nd2ErAl3Pt4.

Formation energy from the elements ... -1.07 eV/atom

abc: 4.366 4.366 10.856
angles: 90.00 90.00 90.00
Space group P-4m2 (No. 115)
Asymmetric unit:
Nd 0.000 0.500 0.230 [2 per cell]
Er 0.000 0.000 0.500 [1 per cell]
Al 0.000 0.500 0.882 [2 per cell]
Al 0.500 0.500 0.500 [1 per cell]
Pt 0.000 0.000 0.000 [1 per cell]
Pt 0.000 0.500 0.653 [2 per cell]
Pt 0.500 0.500 0.000 [1 per cell]

(20)
## KCrCo (PBE)

Data for an optimized crystal structure of KCrCo.

Formation energy from the elements ... 1.68 eV/atom
Distance to the lowest polymorph of the same formula ... 0.8115 eV per atom

abc: 6.808 6.808 6.808
angles: 90.00 90.00 90.00
Space group F-43m (No. 216)
Asymmetric unit:
K 0.000 0.000 0.000 [4 per cell]
Cr 0.250 0.250 0.750 [4 per cell]
Co 0.000 0.000 0.500 [4 per cell]

(21)
## InIrPb (PBE)

Data for an optimized crystal structure of InIrPb.

Formation energy from the elements ... 0.01 eV/atom
Distance to the lowest polymorph of the same formula ... 0.0000 eV per atom

abc: 6.554 6.554 6.554
angles: 90.00 90.00 90.00
Space group F-43m (No. 216)
Asymmetric unit:
In 0.000 0.000 0.000 [4 per cell]
Ir 0.250 0.250 0.250 [4 per cell]
Pb 0.000 0.000 0.500 [4 per cell]

(22)
## NbPO2F (PBE)

Data for an optimized crystal structure of NbPO2F.

Energy relative to the elements, uncorrected ... 0.25 eV/atom

abc: 4.046 4.046 3.536
angles: 90.00 90.00 90.00
Space group P4/mmm (No. 123)
Asymmetric unit:
Nb 0.000 0.000 0.000 [1 per cell]
P 0.500 0.500 0.000 [1 per cell]
O 0.000 0.500 0.500 [2 per cell]
F 0.500 0.500 0.500 [1 per cell]

(23)
## Ac2PmY2 (PBE)

Data for an optimized crystal structure of Ac2PmY2.

Formation energy from the elements ... 0.23 eV/atom

abc: 6.416 8.557 8.592
angles: 94.04 111.88 111.99
Space group P-1 (No. 2)
Asymmetric unit:
Ac 0.105 0.368 0.368 [2 per cell]
Ac 0.370 0.132 0.133 [2 per cell]
Pm 0.333 0.584 0.083 [2 per cell]
Y 0.000 0.249 0.749 [2 per cell]
Y 0.332 0.082 0.582 [2 per cell]

(24)
## ZrCr2Ir2 (PBE)

Data for an optimized crystal structure of ZrCr2Ir2.

Formation energy from the elements ... -0.13 eV/atom
Distance to the lowest polymorph of the same formula ... 0.1101 eV per atom

abc: 3.907 3.907 10.760
angles: 90.00 90.00 90.00
Space group I4/mmm (No. 139)
Asymmetric unit:
Zr 0.000 0.000 0.000 [2 per cell]
Cr 0.000 0.500 0.250 [4 per cell]
Ir 0.000 0.000 0.385 [4 per cell]

(25)
## Ac2NiIr (PBE)

Data for an optimized crystal structure of Ac2NiIr.

Formation energy from the elements ... -0.45 eV/atom
Distance to the lowest polymorph of the same formula ... 0.0168 eV per atom

abc: 7.400 4.271 8.145
angles: 90.00 107.80 90.00
Space group Cm (No. 8)
Asymmetric unit:
Ac 0.000 0.000 0.000 [2 per cell]
Ac 0.172 0.000 0.512 [2 per cell]
Ni 0.253 0.500 0.255 [2 per cell]
Ir 0.419 0.000 0.256 [2 per cell]